No. 1
The following is a PBE-GGA calculation of BaSrMg2Zn after structural relaxation, from Alexandria via LeMat-Bulk.

**DOS(E_F)**: 1.229 states/eV/atom
**Calculated formation energy**: 0.47 eV/atom
**E above lowest polymorph**: 428 meV/atom
**Energy**: -1.147 eV per atom
**Crystal system**: tetragonal

Geometry as CIF:
```
data_BaSrMg2Zn
_chemical_formula_sum 'Ba1 Sr1 Mg2 Zn1'
_symmetry_space_group_name_H-M 'P 4/m m m'
_symmetry_Int_Tables_number 123
_symmetry_space_group_name_Hall '-P 4 2'
_cell_length_a 6.195
_cell_length_b 6.195
_cell_length_c 5.775
_cell_angle_alpha 90.00
_cell_angle_beta 90.00
_cell_angle_gamma 90.00
loop_
_atom_site_label
_atom_site_type_symbol
_atom_site_fract_x
_atom_site_fract_y
_atom_site_fract_z
Ba1 Ba 0.000 0.000 0.000
Sr1 Sr 0.500 0.500 0.500
Mg1 Mg 0.000 0.500 0.500
Zn1 Zn 0.500 0.500 0.000
```

No. 2
The following is a PBE-GGA calculation of BaSr2MgZn after structural relaxation, from Alexandria via LeMat-Bulk.

**DOS(E_F)**: 1.371 states/eV/atom
**Calculated formation energy**: 0.10 eV/atom
**E above lowest polymorph**: 97 meV/atom
**Energy**: -1.526 eV per atom
**Crystal system**: tetragonal

Geometry as CIF:
```
data_BaSr2MgZn
_chemical_formula_sum 'Ba1 Sr2 Mg1 Zn1'
_symmetry_space_group_name_H-M 'P 4/m m m'
_symmetry_Int_Tables_number 123
_symmetry_space_group_name_Hall '-P 4 2'
_cell_length_a 6.187
_cell_length_b 6.187
_cell_length_c 6.251
_cell_angle_alpha 90.00
_cell_angle_beta 90.00
_cell_angle_gamma 90.00
loop_
_atom_site_label
_atom_site_type_symbol
_atom_site_fract_x
_atom_site_fract_y
_atom_site_fract_z
Ba1 Ba 0.000 0.000 0.000
Sr1 Sr 0.000 0.500 0.500
Mg1 Mg 0.500 0.500 0.000
Zn1 Zn 0.000 0.000 0.500
```

No. 3
The following is a PBE-GGA calculation of BaSrMg2Zn after structural relaxation, from Alexandria via LeMat-Bulk.

**DOS(E_F)**: 0.843 states/eV/atom
**Calculated formation energy**: 0.04 eV/atom
**E above lowest polymorph**: 0 meV/atom
**Energy**: -1.575 eV per atom
**Crystal system**: tetragonal

Geometry as CIF:
```
data_BaSrMg2Zn
_chemical_formula_sum 'Ba1 Sr1 Mg2 Zn1'
_symmetry_space_group_name_H-M 'P 4/m m m'
_symmetry_Int_Tables_number 123
_symmetry_space_group_name_Hall '-P 4 2'
_cell_length_a 5.399
_cell_length_b 5.399
_cell_length_c 5.971
_cell_angle_alpha 90.00
_cell_angle_beta 90.00
_cell_angle_gamma 90.00
loop_
_atom_site_label
_atom_site_type_symbol
_atom_site_fract_x
_atom_site_fract_y
_atom_site_fract_z
Ba1 Ba 0.000 0.000 0.000
Sr1 Sr 0.500 0.500 0.000
Mg1 Mg 0.000 0.500 0.500
Zn1 Zn 0.500 0.500 0.500
```

No. 4
The following is a PBE-GGA calculation of BaMg2Ta after structural relaxation, from Alexandria via LeMat-Bulk.

**DOS(E_F)**: 1.218 states/eV/atom
**Calculated formation energy**: 0.71 eV/atom
**E above lowest polymorph**: 295 meV/atom
**Energy**: -3.532 eV per atom
**Crystal system**: tetragonal

Geometry as CIF:
```
data_BaMg2Ta
_chemical_formula_sum 'Ba1 Mg2 Ta1'
_symmetry_space_group_name_H-M 'P 4/m m m'
_symmetry_Int_Tables_number 123
_symmetry_space_group_name_Hall '-P 4 2'
_cell_length_a 5.696
_cell_length_b 5.696
_cell_length_c 3.124
_cell_angle_alpha 90.00
_cell_angle_beta 90.00
_cell_angle_gamma 90.00
loop_
_atom_site_label
_atom_site_type_symbol
_atom_site_fract_x
_atom_site_fract_y
_atom_site_fract_z
Ba1 Ba 0.000 0.000 0.000
Mg1 Mg 0.000 0.500 0.500
Ta1 Ta 0.500 0.500 0.000
```

No. 5
The following is a PBE-GGA calculation of BaMgTa2 after structural relaxation, from Alexandria via LeMat-Bulk.

**DOS(E_F)**: 1.241 states/eV/atom
**Calculated formation energy**: 1.11 eV/atom
**Energy**: -5.698 eV per atom
**Crystal system**: tetragonal

Geometry as CIF:
```
data_BaMgTa2
_chemical_formula_sum 'Ba2 Mg2 Ta4'
_symmetry_space_group_name_H-M 'I 4/m m m'
_symmetry_Int_Tables_number 139
_symmetry_space_group_name_Hall '-I 4 2'
_cell_length_a 4.324
_cell_length_b 4.324
_cell_length_c 10.036
_cell_angle_alpha 90.00
_cell_angle_beta 90.00
_cell_angle_gamma 90.00
loop_
_atom_site_label
_atom_site_type_symbol
_atom_site_fract_x
_atom_site_fract_y
_atom_site_fract_z
Ba1 Ba 0.000 0.000 0.000
Mg1 Mg 0.000 0.000 0.500
Ta1 Ta 0.000 0.500 0.250
```

No. 6
The following is a PBE-GGA calculation of BaMgTa2 after structural relaxation, from Alexandria via LeMat-Bulk.

**DOS(E_F)**: 1.251 states/eV/atom
**Calculated formation energy**: 0.82 eV/atom
**Energy**: -5.987 eV per atom
**Crystal system**: monoclinic

Geometry as CIF:
```
data_BaMgTa2
_chemical_formula_sum 'Ba1 Mg1 Ta2'
_symmetry_space_group_name_H-M 'P 1 2/m 1'
_symmetry_Int_Tables_number 10
_symmetry_space_group_name_Hall '-P 2y'
_cell_length_a 3.020
_cell_length_b 5.242
_cell_length_c 6.781
_cell_angle_alpha 90.00
_cell_angle_beta 97.26
_cell_angle_gamma 90.00
loop_
_atom_site_label
_atom_site_type_symbol
_atom_site_fract_x
_atom_site_fract_y
_atom_site_fract_z
Ba1 Ba 0.000 0.000 0.000
Mg1 Mg 0.500 0.000 0.500
Ta1 Ta 0.284 0.500 0.663
```